(1)
## K2MnIn (PBE)

Data for crystalline K2MnIn at its relaxed geometry.

The space group is Cmmm (No. 65) and the conventional cell measures 6.490, 11.129 and 3.828 Å, with angles of 90.00, 90.00 and 90.00 degrees. The distinct sites, in fractional coordinates, are K at (0.250, 0.250, 0.000), Mn at (0.000, 0.000, 0.500) and In at (0.000, 0.500, 0.500).

For the formation enthalpy at 0 K, the calculation gives 56.2 kJ per mole of atoms. As for the magnetization: 8.42 μB/cell. As for the calculated volume: 34.56 Å³ per atom.

(2)
## K3MnIn (PBE)

Data for crystalline K3MnIn at its relaxed geometry.

The space group is Pm-3m (No. 221) and the conventional cell measures 6.722, 6.722 and 6.722 Å, with angles of 90.00, 90.00 and 90.00 degrees. The distinct sites, in fractional coordinates, are K at (0.000, 0.000, 0.500), Mn at (0.500, 0.500, 0.500) and In at (0.000, 0.000, 0.000).

For the formation enthalpy at 0 K, the calculation gives 71.9 kJ per mole of atoms. As for the magnetization: 4.66 μB/cell. As for the calculated volume: 60.75 Å³ per atom. For the energy relative to the lowest polymorph listed for this composition, the calculation gives 0 meV per atom.

(3)
## K2MnIn (PBE)

Data for crystalline K2MnIn at its relaxed geometry.

The space group is Cm (No. 8) and the conventional cell measures 8.400, 4.849 and 8.963 Å, with angles of 90.00, 108.04 and 90.00 degrees. The distinct sites, in fractional coordinates, are K at (0.000, 0.000, 0.000), K at (0.182, 0.000, 0.552), Mn at (0.424, 0.000, 0.276) and In at (0.258, 0.500, 0.276).

For the formation enthalpy at 0 K, the calculation gives 31.5 kJ per mole of atoms. As for the magnetization: 7.59 μB/cell. As for the calculated volume: 43.40 Å³ per atom.

(4)
## KMnIn2 (PBE)

Data for crystalline KMnIn2 at its relaxed geometry.

The space group is Cmmm (No. 65) and the conventional cell measures 6.639, 9.935 and 3.168 Å, with angles of 90.00, 90.00 and 90.00 degrees. The distinct sites, in fractional coordinates, are K at (0.000, 0.000, 0.000), Mn at (0.000, 0.500, 0.000) and In at (0.250, 0.250, 0.500).

For the formation enthalpy at 0 K, the calculation gives 41.1 kJ per mole of atoms. As for the magnetization: 7.60 μB/cell. As for the calculated volume: 26.12 Å³ per atom. For the energy relative to the lowest polymorph listed for this composition, the calculation gives 302 meV per atom.

(5)
## K2MnIn (PBE)

Data for crystalline K2MnIn at its relaxed geometry.

The space group is I-4m2 (No. 119) and the conventional cell measures 5.659, 5.659 and 7.971 Å, with angles of 90.00, 90.00 and 90.00 degrees. The distinct sites, in fractional coordinates, are K at (0.000, 0.000, 0.000), K at (0.000, 0.500, 0.250), Mn at (0.000, 0.000, 0.500) and In at (0.000, 0.500, 0.750).

For the formation enthalpy at 0 K, the calculation gives 46.6 kJ per mole of atoms. As for the magnetization: 7.97 μB/cell. As for the calculated volume: 31.91 Å³ per atom.

(6)
## K2MnIn (PBE)

Data for crystalline K2MnIn at its relaxed geometry.

The space group is Immm (No. 71) and the conventional cell measures 4.812, 4.819 and 11.556 Å, with angles of 90.00, 90.00 and 90.00 degrees. The distinct sites, in fractional coordinates, are K at (0.000, 0.000, 0.249), Mn at (0.000, 0.500, 0.500) and In at (0.000, 0.500, 0.000).

For the formation enthalpy at 0 K, the calculation gives 54.5 kJ per mole of atoms. As for the magnetization: 8.21 μB/cell. As for the calculated volume: 33.49 Å³ per atom.

(7)
## KMnIn2 (PBE)

Data for crystalline KMnIn2 at its relaxed geometry.

The space group is I-42d (No. 122) and the conventional cell measures 5.785, 5.785 and 18.419 Å, with angles of 90.00, 90.00 and 90.00 degrees. The distinct sites, in fractional coordinates, are K at (0.000, 0.000, 0.000), Mn at (0.000, 0.000, 0.500) and In at (0.001, 0.250, 0.625).

For the formation enthalpy at 0 K, the calculation gives 40.5 kJ per mole of atoms. As for the magnetization: 15.17 μB/cell. As for the calculated volume: 38.52 Å³ per atom. For the energy relative to the lowest polymorph listed for this composition, the calculation gives 296 meV per atom.

(8)
## KMnIn2 (PBE)

Data for crystalline KMnIn2 at its relaxed geometry.

The space group is Cm (No. 8) and the conventional cell measures 9.887, 3.256 and 7.504 Å, with angles of 90.00, 97.05 and 90.00 degrees. The distinct sites, in fractional coordinates, are K at (0.000, 0.000, 0.000), Mn at (0.231, 0.000, 0.631), In at (0.000, 0.500, 0.559) and In at (0.261, 0.500, 0.315).

For the formation enthalpy at 0 K, the calculation gives 30.2 kJ per mole of atoms. As for the magnetization: 7.80 μB/cell. As for the calculated volume: 29.97 Å³ per atom. For the energy relative to the lowest polymorph listed for this composition, the calculation gives 189 meV per atom.

(9)
## KMnIn2 (PBE)

Data for crystalline KMnIn2 at its relaxed geometry.

The space group is Imm2 (No. 44) and the conventional cell measures 3.297, 5.764 and 11.609 Å, with angles of 90.00, 90.00 and 90.00 degrees. The distinct sites, in fractional coordinates, are K at (0.000, 0.000, 0.000), Mn at (0.000, 0.500, 0.777), In at (0.000, 0.000, 0.473) and In at (0.000, 0.500, 0.214).

For the formation enthalpy at 0 K, the calculation gives 37.9 kJ per mole of atoms. As for the magnetization: 8.19 μB/cell. As for the calculated volume: 27.58 Å³ per atom. For the energy relative to the lowest polymorph listed for this composition, the calculation gives 269 meV per atom.

(10)
## KMnIn2 (PBE)

Data for crystalline KMnIn2 at its relaxed geometry.

The space group is P4/mmm (No. 123) and the conventional cell measures 4.786, 4.786 and 4.651 Å, with angles of 90.00, 90.00 and 90.00 degrees. The distinct sites, in fractional coordinates, are K at (0.000, 0.000, 0.000), Mn at (0.500, 0.500, 0.000) and In at (0.000, 0.500, 0.500).

For the formation enthalpy at 0 K, the calculation gives 41.9 kJ per mole of atoms. As for the magnetization: 3.89 μB/cell. As for the calculated volume: 26.63 Å³ per atom. For the energy relative to the lowest polymorph listed for this composition, the calculation gives 310 meV per atom.

(11)
## KMnIn2 (PBE)

Data for crystalline KMnIn2 at its relaxed geometry.

The space group is P2/m (No. 10) and the conventional cell measures 5.913, 3.236 and 6.293 Å, with angles of 90.00, 114.62 and 90.00 degrees. The distinct sites, in fractional coordinates, are K at (0.000, 0.000, 0.000), Mn at (0.000, 0.500, 0.500), In at (0.500, 0.000, 0.500) and In at (0.500, 0.500, 0.000).

For the formation enthalpy at 0 K, the calculation gives 45.8 kJ per mole of atoms. As for the magnetization: 4.15 μB/cell. As for the calculated volume: 27.37 Å³ per atom. For the energy relative to the lowest polymorph listed for this composition, the calculation gives 351 meV per atom.

(12)
## K2MnIn (PBE)

Data for crystalline K2MnIn at its relaxed geometry.

The space group is P2/m (No. 10) and the conventional cell measures 3.540, 5.762 and 6.739 Å, with angles of 90.00, 90.38 and 90.00 degrees. The distinct sites, in fractional coordinates, are K at (0.004, 0.000, 0.250), Mn at (0.500, 0.500, 0.500) and In at (0.500, 0.500, 0.000).

For the formation enthalpy at 0 K, the calculation gives 56.6 kJ per mole of atoms. As for the magnetization: 4.26 μB/cell. As for the calculated volume: 34.36 Å³ per atom.

Copy entry 3 word for word.
## K2MnIn (PBE)

Data for crystalline K2MnIn at its relaxed geometry.

The space group is Cm (No. 8) and the conventional cell measures 8.400, 4.849 and 8.963 Å, with angles of 90.00, 108.04 and 90.00 degrees. The distinct sites, in fractional coordinates, are K at (0.000, 0.000, 0.000), K at (0.182, 0.000, 0.552), Mn at (0.424, 0.000, 0.276) and In at (0.258, 0.500, 0.276).

For the formation enthalpy at 0 K, the calculation gives 31.5 kJ per mole of atoms. As for the magnetization: 7.59 μB/cell. As for the calculated volume: 43.40 Å³ per atom.

What did the seventh record say?
## KMnIn2 (PBE)

Data for crystalline KMnIn2 at its relaxed geometry.

The space group is I-42d (No. 122) and the conventional cell measures 5.785, 5.785 and 18.419 Å, with angles of 90.00, 90.00 and 90.00 degrees. The distinct sites, in fractional coordinates, are K at (0.000, 0.000, 0.000), Mn at (0.000, 0.000, 0.500) and In at (0.001, 0.250, 0.625).

For the formation enthalpy at 0 K, the calculation gives 40.5 kJ per mole of atoms. As for the magnetization: 15.17 μB/cell. As for the calculated volume: 38.52 Å³ per atom. For the energy relative to the lowest polymorph listed for this composition, the calculation gives 296 meV per atom.

Q: The highest calculated volume belongs to which entry?
A: K3MnIn

Q: Which of these has the lowest calculated volume?
A: number 4